# 1
Computed, not measured: MgB3Cl after structural relaxation at the PBE-GGA level of DFT.

a b c (Å): 4.554 4.554 4.554
angles (deg): 90.00 90.00 90.00
Space group Pm-3m (No. 221)
Unique sites:
Mg (0.000, 0.000, 0.000) [1 per cell]
B (0.000, 0.000, 0.500) [3 per cell]
Cl (0.500, 0.500, 0.500) [1 per cell]

Results
V = 18.89 A^3/atom
ΔE_f (raw) = 2.2307 eV per atom

---

# 2
Computed, not measured: MgB2Cl after structural relaxation at the PBE-GGA level of DFT.

a b c (Å): 6.197 6.197 6.197
angles (deg): 90.00 90.00 90.00
Space group Fm-3m (No. 225)
Unique sites:
Mg (0.000, 0.000, 0.000) [4 per cell]
B (0.250, 0.250, 0.250) [8 per cell]
Cl (0.000, 0.000, 0.500) [4 per cell]

Results
V = 14.87 A^3/atom
ΔE_f (raw) = 1.7181 eV per atom

---

Question: V of number 2 (MgB2Cl)?
Answer: 14.87 A^3/atom

---

Question: Among the records above, which one has the lowest V?
Answer: MgB2Cl

---

Question: V of number 1 (MgB3Cl)?
Answer: 18.89 A^3/atom